5
Lattice="-3.2582 -4.0125 -1.3452 1.3800 0.1808 -3.8817 3.8360 -3.5172 1.1999" Properties=species:S:1:pos:R:3 comment="NbHgW2F GGA+U relaxed" space_group=P4/mmm volume_a3_per_cell=117.6 e_tot_ev_per_atom=-4.38 n_ef_per_ev_fu=4.308 pbc="T T T"
Nb 0.0000 0.0000 0.0000
Hg 0.9789 -3.6744 -2.0135
W 1.9180 -1.7586 0.6000
W -1.6291 -2.0062 -0.6726
F 0.6900 0.0904 -1.9409